CaTl2TcSn: optimized geometry, PBE-GGA.

Summary:
ΔH_f (0 K)   0.88 eV per formula unit
Raw total energy   -20.22 eV per formula unit

abc: 5.3393 5.1963 5.3393
angles: 90.00 90.00 90.00
With the nearest neighbours (Å) after each atom.
Atoms (fractional coordinates):
Tl  0.0000  0.0000  0.5000  2 Tc 2.67
Tl  0.5000  0.0000  0.0000  2 Tc 2.67
Ca  0.5000  0.5000  0.5000  8 Tl 3.73, 4 Sn 3.78
Sn  0.0000  0.5000  0.0000  2 Tc 2.60
Tc  0.0000  0.0000  0.0000  2 Sn 2.60, 4 Tl 2.67


SmCd6Au: optimized geometry, PBE-GGA.

Summary:
ΔH_f (0 K)   -1.54 eV per formula unit
Raw total energy   -15.03 eV per formula unit

abc: 4.8462 5.8903 7.2232
angles: 114.06 90.00 90.00
With the nearest neighbours (Å) after each atom.
Atoms (fractional coordinates):
Cd  0.0000  0.3348  0.1552  5 Cd 2.86-3.13, 2 Au 2.94
Cd  0.5000  0.6734  0.8657  6 Cd 2.83-3.08, 1 Au 3.01
Cd  0.0000  0.8203  0.1552  5 Cd 2.86-3.13, 2 Au 2.94
Sm  0.5000  0.7030  0.4060  2 Au 3.10, 8 Cd 3.20-3.40
Cd  0.0000  0.2855  0.5710  8 Cd 3.11-3.41, 2 Au 3.18
Cd  0.5000  0.1923  0.8657  6 Cd 2.83-3.08, 1 Au 3.01
Cd  0.0000  0.8616  0.7233  8 Cd 3.01-3.23, 2 Sm 3.20
Au  0.5000  0.1290  0.2580  8 Cd 2.94-3.18, 2 Sm 3.10


ZnNiOs2: optimized geometry, PBE-GGA.

Summary:
ΔH_f (0 K)   0.93 eV per formula unit
Raw total energy   -28.58 eV per formula unit

abc: 5.5221 5.5221 5.5221
angles: 151.69 134.72 54.27
With the nearest neighbours (Å) after each atom.
Atoms (fractional coordinates):
Ni  0.2500  0.7500  0.5000  4 Os 2.50, 4 Zn 2.52, 2 Ni 2.70
Os  0.4639  0.4639  0.0000  2 Ni 2.50, 6 Os 2.62-2.70
Zn  0.7500  0.2500  0.5000  4 Ni 2.52, 2 Zn 2.70
Os  0.0361  0.0361  0.0000  2 Ni 2.50, 6 Os 2.62-2.70


Pa2Al2Co4B: optimized geometry, PBE-GGA.

Summary:
ΔH_f (0 K)   -2.36 eV per formula unit
Raw total energy   -63.93 eV per formula unit

abc: 5.5546 5.5546 5.5546
angles: 101.93 113.37 113.37
With the nearest neighbours (Å) after each atom.
Atoms (fractional coordinates):
Pa  0.5000  0.2500  0.7500  8 Co 2.78, 4 Al 3.08
Co  0.4675  0.2337  0.2337  1 B 2.02
Co  0.5325  0.7663  0.7663  1 B 2.02
Co  0.0000  0.2337  0.7663  1 B 2.02
B  0.0000  0.0000  0.0000  4 Co 2.02, 2 Al 2.20
Al  0.0000  0.6855  0.6855  1 B 2.20
Pa  0.5000  0.7500  0.2500  8 Co 2.78, 4 Al 3.08
Al  0.0000  0.3145  0.3145  1 B 2.20
Co  0.0000  0.7663  0.2337  1 B 2.02


HfCdBr3: optimized geometry, PBE-GGA.

Summary:
Formation energy (no corrections)   -3.2 eV per formula unit
Raw total energy   -19.12 eV per formula unit

abc: 5.3133 5.3133 5.3133
angles: 90.00 90.00 90.00
With the nearest neighbours (Å) after each atom.
Atoms (fractional coordinates):
Br  0.5000  0.0000  0.0000  2 Hf 2.66
Br  0.0000  0.5000  0.0000  2 Hf 2.66
Hf  0.0000  0.0000  0.0000  6 Br 2.66
Br  0.0000  0.0000  0.5000  2 Hf 2.66
Cd  0.5000  0.5000  0.5000  12 Br 3.76


AcHfAu: optimized geometry, PBE-GGA.

Summary:
ΔH_f (0 K)   -0.15 eV per formula unit
Raw total energy   -17.49 eV per formula unit

abc: 3.8390 3.8395 13.6746
angles: 90.00 90.00 119.99
With the nearest neighbours (Å) after each atom.
Atoms (fractional coordinates):
Hf  0.2778  0.5555  0.8754  3 Au 2.80
Au  0.2778  0.5556  0.5000  6 Ac 3.26
Hf  0.2778  0.5555  0.1246  3 Au 2.80
Au  0.6111  0.2221  0.0000  6 Hf 2.80
Ac  0.6111  0.2222  0.6744  3 Au 3.26, 3 Hf 3.53
Ac  0.6111  0.2222  0.3256  3 Au 3.26, 3 Hf 3.53


MgNbSbTe2: optimized geometry, PBE-GGA.

Summary:
Formation energy (no corrections)   4.9 eV per formula unit
Excess energy over the best structure of this formula in the dataset   3.991 eV per formula unit
Raw total energy   -17.14 eV per formula unit

abc: 5.3077 5.3077 5.1877
angles: 90.00 90.00 90.00
With the nearest neighbours (Å) after each atom.
Atoms (fractional coordinates):
Nb  0.5000  0.5000  0.5000  8 Te 3.71, 4 Sb 3.75
Te  0.0000  0.5000  0.0000  2 Mg 2.65
Te  0.5000  0.0000  0.0000  2 Mg 2.65
Sb  0.0000  0.0000  0.5000  2 Mg 2.59
Mg  0.0000  0.0000  0.0000  2 Sb 2.59, 4 Te 2.65


AcMg4In: optimized geometry, PBE-GGA.

Summary:
Excess energy over the best structure of this formula in the dataset   0.431 eV per formula unit
ΔH_f (0 K)   -0.30 eV per formula unit
Raw total energy   -13.52 eV per formula unit

abc: 6.1688 6.1688 6.1688
angles: 60.00 60.00 60.00
With the nearest neighbours (Å) after each atom.
Atoms (fractional coordinates):
Mg  0.6254  0.1239  0.6254  6 Mg 3.08-3.09
Mg  0.6254  0.6254  0.1239  6 Mg 3.08-3.09
Mg  0.6254  0.6254  0.6254  6 Mg 3.08-3.09
Ac  0.2500  0.2500  0.2500  12 Mg 3.62, 4 In 3.78
Mg  0.1239  0.6254  0.6254  6 Mg 3.08-3.09
In  0.0000  0.0000  0.0000  12 Mg 3.62, 4 Ac 3.78


HfAs2AuBr: optimized geometry, PBE-GGA.

Summary:
Formation energy (no corrections)   1.2 eV per formula unit
Excess energy over the best structure of this formula in the dataset   0.000 eV per formula unit
Raw total energy   -23.04 eV per formula unit

abc: 5.2198 5.2198 5.1058
angles: 90.00 90.00 90.00
With the nearest neighbours (Å) after each atom.
Atoms (fractional coordinates):
Hf  0.0000  0.0000  0.0000  2 Br 2.55, 4 As 2.61
As  0.0000  0.5000  0.0000  2 Hf 2.61
As  0.5000  0.0000  0.0000  2 Hf 2.61
Au  0.5000  0.5000  0.5000  8 As 3.65, 4 Br 3.69
Br  0.0000  0.0000  0.5000  2 Hf 2.55


NaY3V: optimized geometry, PBE-GGA.

Summary:
Excess energy over the best structure of this formula in the dataset   0.000 eV per formula unit
ΔH_f (0 K)   2.40 eV per formula unit
Raw total energy   -27.43 eV per formula unit

abc: 5.4625 5.4625 5.4625
angles: 90.00 90.00 90.00
With the nearest neighbours (Å) after each atom.
Atoms (fractional coordinates):
Na  0.5000  0.5000  0.5000  12 Y 3.86
Y  0.0000  0.5000  0.0000  2 V 2.73
Y  0.0000  0.0000  0.5000  2 V 2.73
V  0.0000  0.0000  0.0000  6 Y 2.73
Y  0.5000  0.0000  0.0000  2 V 2.73


ZnSiP2O: optimized geometry, PBE-GGA.

Summary:
Formation energy (no corrections)   3.4 eV per formula unit
Excess energy over the best structure of this formula in the dataset   4.195 eV per formula unit
Raw total energy   -19.08 eV per formula unit

abc: 4.7533 4.7533 3.6182
angles: 90.00 90.00 90.00
With the nearest neighbours (Å) after each atom.
Atoms (fractional coordinates):
Si  0.5000  0.5000  0.5000  8 P 2.99
Zn  0.0000  0.0000  0.0000  2 O 1.81
O  0.0000  0.0000  0.5000  2 Zn 1.81
P  0.5000  0.0000  0.0000  2 Zn 2.38
P  0.0000  0.5000  0.0000  2 Zn 2.38


ZrSi3W: optimized geometry, PBE-GGA.

Summary:
Formation energy (no corrections)   3.3 eV per formula unit
Excess energy over the best structure of this formula in the dataset   0.000 eV per formula unit
Raw total energy   -34.46 eV per formula unit

abc: 4.6766 4.6766 4.6766
angles: 90.00 90.00 90.00
With the nearest neighbours (Å) after each atom.
Atoms (fractional coordinates):
Zr  0.5000  0.5000  0.5000  12 Si 3.31
Si  0.0000  0.5000  0.0000  2 W 2.34
Si  0.0000  0.0000  0.5000  2 W 2.34
W  0.0000  0.0000  0.0000  6 Si 2.34
Si  0.5000  0.0000  0.0000  2 W 2.34


Q: Among the records above, which one has the highest raw total energy?
A: AcMg4In


Q: The lowest raw total energy belongs to which entry?
A: Pa2Al2Co4B


Q: The lowest raw total energy belongs to which entry?
A: Pa2Al2Co4B